# 1
Below is a relaxed structure of La2GeRhPb, with properties calculated at the PBE level.

Its calculated total energy is -5.720 eV/atom. Its formation energy from the elements is -3.1 eV per formula unit.

It has space group P4/mmm (No. 123), with a = 5.550 Å, b = 5.550 Å, c = 4.760 Å, α = 90.00°, β = 90.00° and γ = 90.00°. The asymmetric unit holds La at (0.000, 0.500, 0.000), Ge at (0.000, 0.000, 0.500), Rh at (0.000, 0.000, 0.000) and Pb at (0.500, 0.500, 0.500).

# 2
Below is a relaxed structure of LaGe2RuPb, with properties calculated at the PBE level.

Its calculated total energy is -4.047 eV/atom. Its formation energy from the elements is 6.9 eV per formula unit.

It has space group P4/mmm (No. 123), with a = 5.251 Å, b = 5.251 Å, c = 6.104 Å, α = 90.00°, β = 90.00° and γ = 90.00°. The asymmetric unit holds La at (0.000, 0.000, 0.000), Ge at (0.000, 0.500, 0.500), Ru at (0.500, 0.500, 0.000) and Pb at (0.000, 0.000, 0.500).

# 3
Below is a relaxed structure of La2GeRuPb, with properties calculated at the PBE level.

Its calculated total energy is -5.976 eV/atom. Its formation energy from the elements is -2.4 eV per formula unit.

It has space group P4/mmm (No. 123), with a = 5.491 Å, b = 5.491 Å, c = 4.804 Å, α = 90.00°, β = 90.00° and γ = 90.00°. The asymmetric unit holds La at (0.000, 0.500, 0.000), Ge at (0.000, 0.000, 0.500), Ru at (0.000, 0.000, 0.000) and Pb at (0.500, 0.500, 0.500).